# 1
The following is a DFT calculation (PBE) of a relaxed PaSiH2O6 crystal.

Lattice parameters (Å, degrees): 5.273 5.663 5.413 93.36 114.82 122.00
Fractional coordinates of all 10 atoms:
O 0.868 0.768 0.197
O 0.443 0.176 0.243
O 0.986 0.726 0.792
O 0.125 0.228 0.763
O 0.007 0.270 0.169
O 0.550 0.820 0.717
Pa 0.997 0.498 0.480
H 0.327 0.252 0.773
H 0.666 0.744 0.187
Si 0.997 0.998 0.980

The space group is No. 2. Its total energy is -7.32 eV per atom. For the density of states at the Fermi level, the calculation gives 0.297 states/eV per atom.

=====

# 2
The following is a DFT calculation (PBE) of a relaxed Pa3SnH4O12 crystal.

Lattice parameters (Å, degrees): 6.335 6.335 6.335 102.31 102.31 102.31
Fractional coordinates of all 20 atoms:
O 0.881 0.500 0.119
O 0.346 0.974 0.170
O 0.361 0.639 0.500
O 0.639 0.500 0.361
O 0.026 0.654 0.830
O 0.654 0.830 0.026
O 0.830 0.026 0.654
O 0.170 0.346 0.974
O 0.500 0.361 0.639
O 0.974 0.170 0.346
O 0.119 0.881 0.500
O 0.500 0.119 0.881
H 0.921 0.079 0.500
H 0.500 0.921 0.079
H 0.500 0.500 0.500
H 0.079 0.500 0.921
Pa 0.535 0.465 0.000
Pa 0.000 0.535 0.465
Pa 0.465 0.000 0.535
Sn 0.000 0.000 0.000

The space group is No. 155. Its total energy is -7.27 eV per atom. For the density of states at the Fermi level, the calculation gives 0.746 states/eV per atom.

=====

# 3
The following is a DFT calculation (PBE) of a relaxed PaSnH2O6 crystal.

Lattice parameters (Å, degrees): 5.172 5.618 5.780 93.76 112.17 122.38
Fractional coordinates of all 10 atoms:
O 0.168 0.245 0.740
O 0.855 0.615 0.738
O 0.507 0.877 0.732
O 0.486 0.119 0.228
O 0.138 0.381 0.223
O 0.825 0.750 0.221
Sn 0.997 0.998 0.980
Pa 0.997 0.498 0.480
H 0.390 0.291 0.762
H 0.603 0.705 0.199

The space group is No. 2. Its total energy is -6.87 eV per atom. For the density of states at the Fermi level, the calculation gives 0.529 states/eV per atom.

=====

# 4
The following is a DFT calculation (PBE) of a relaxed Sr3PaH2O6 crystal.

Lattice parameters (Å, degrees): 5.588 5.588 6.846 90.00 90.00 120.00
Fractional coordinates of all 12 atoms:
O 0.640 0.820 0.309
O 0.820 0.180 0.691
O 0.820 0.640 0.691
O 0.360 0.180 0.691
O 0.180 0.360 0.309
O 0.180 0.820 0.309
Sr 0.000 0.000 0.000
Sr 0.667 0.333 0.327
Sr 0.333 0.667 0.673
H 0.333 0.667 0.287
H 0.667 0.333 0.713
Pa 0.000 0.000 0.500

The space group is No. 164. Its total energy is -6.39 eV per atom. For the density of states at the Fermi level, the calculation gives 0.181 states/eV per atom.

=====

# 5
The following is a DFT calculation (PBE) of a relaxed PaTeH2O8 crystal.

Lattice parameters (Å, degrees): 4.570 4.722 7.123 88.56 90.37 65.58
Fractional coordinates of all 12 atoms:
Te 0.000 0.000 0.000
O 0.779 0.298 0.793
O 0.732 0.760 0.496
O 0.221 0.702 0.207
O 0.200 0.737 0.799
O 0.268 0.240 0.504
O 0.360 0.143 0.003
O 0.800 0.263 0.201
O 0.640 0.857 0.997
H 0.445 0.530 0.188
H 0.555 0.470 0.812
Pa 0.000 0.000 0.500

The space group is No. 2. Its total energy is -6.21 eV per atom. For the density of states at the Fermi level, the calculation gives 0.369 states/eV per atom.

=====

# 6
The following is a DFT calculation (PBE) of a relaxed PaTeH2O6 crystal.

Lattice parameters (Å, degrees): 5.148 5.609 5.777 93.48 110.89 123.24
Fractional coordinates of all 10 atoms:
O 0.853 0.613 0.745
O 0.519 0.881 0.731
O 0.474 0.115 0.229
O 0.176 0.245 0.734
O 0.140 0.383 0.215
O 0.817 0.750 0.226
Pa 0.997 0.498 0.480
Te 0.997 0.998 0.980
H 0.583 0.686 0.198
H 0.410 0.310 0.762

The space group is No. 2. Its total energy is -6.68 eV per atom. For the density of states at the Fermi level, the calculation gives 0.460 states/eV per atom.

=====

Q: Which formula does entry 4 have?
A: Sr3PaH2O6